# 1
A plane-wave DFT calculation with PBE was carried out for a relaxed structure of Zr2Cd.

Geometry as CIF:
```
data_Zr2Cd
_cell_length_a 4.760
_cell_length_b 4.760
_cell_length_c 6.780
_cell_angle_alpha 90.00
_cell_angle_beta 90.00
_cell_angle_gamma 90.00
_symmetry_space_group_name_H-M 'I 4/m m m'
_symmetry_Int_Tables_number 139
_symmetry_space_group_name_Hall '-I 4 2'
loop_
_atom_site_label
_atom_site_type_symbol
_atom_site_fract_x
_atom_site_fract_y
_atom_site_fract_z
Zr1 Zr 0.000 0.500 0.250
Cd1 Cd 0.000 0.000 0.000
```

***

# 2
A plane-wave DFT calculation with PBE was carried out for a relaxed structure of Zr3Cd.

Geometry as CIF:
```
data_Zr3Cd
_cell_length_a 5.227
_cell_length_b 6.194
_cell_length_c 5.563
_cell_angle_alpha 90.00
_cell_angle_beta 90.00
_cell_angle_gamma 90.00
_symmetry_space_group_name_H-M 'P m m n'
_symmetry_Int_Tables_number 59
loop_
_symmetry_equiv_pos_as_xyz
'x,y,z'
'-x,-y,-z'
'-x+1/2,-y+1/2,z'
'x+1/2,y+1/2,-z'
'x+1/2,-y,-z'
'-x+1/2,y,z'
'-x,y+1/2,-z'
'x,-y+1/2,z'
loop_
_atom_site_label
_atom_site_type_symbol
_atom_site_fract_x
_atom_site_fract_y
_atom_site_fract_z
Zr1 Zr 0.250 0.001 0.153
Zr2 Zr 0.250 0.250 0.651
Cd1 Cd 0.250 0.750 0.661
```

***

# 3
A plane-wave DFT calculation with PBE was carried out for a relaxed structure of Zr2Cd.

Geometry as CIF:
```
data_Zr2Cd
_cell_length_a 11.908
_cell_length_b 3.105
_cell_length_c 7.608
_cell_angle_alpha 90.00
_cell_angle_beta 107.48
_cell_angle_gamma 90.00
_symmetry_space_group_name_H-M 'C 1 m 1'
_symmetry_Int_Tables_number 8
_symmetry_space_group_name_Hall 'C -2y'
loop_
_atom_site_label
_atom_site_type_symbol
_atom_site_fract_x
_atom_site_fract_y
_atom_site_fract_z
Zr1 Zr 0.000 0.000 0.000
Zr2 Zr 0.045 0.000 0.599
Zr3 Zr 0.218 0.500 0.924
Zr4 Zr 0.382 0.000 0.266
Cd1 Cd 0.163 0.500 0.330
Cd2 Cd 0.325 0.000 0.650
```

***

# 4
A plane-wave DFT calculation with PBE was carried out for a relaxed structure of Zr13Cd3.

Geometry as CIF:
```
data_Zr13Cd3
_cell_length_a 8.599
_cell_length_b 9.349
_cell_length_c 9.036
_cell_angle_alpha 90.00
_cell_angle_beta 90.00
_cell_angle_gamma 90.00
_symmetry_space_group_name_H-M 'A m m 2'
_symmetry_Int_Tables_number 38
_symmetry_space_group_name_Hall 'A 2 -2'
loop_
_atom_site_label
_atom_site_type_symbol
_atom_site_fract_x
_atom_site_fract_y
_atom_site_fract_z
Zr1 Zr 0.000 0.000 0.000
Zr2 Zr 0.000 0.000 0.497
Zr3 Zr 0.000 0.248 0.748
Zr4 Zr 0.244 0.000 0.255
Zr5 Zr 0.253 0.243 0.000
Zr6 Zr 0.500 0.000 0.998
Zr7 Zr 0.500 0.239 0.254
Cd1 Cd 0.254 0.000 0.744
Cd2 Cd 0.500 0.000 0.510
```

***

# 5
A plane-wave DFT calculation with PBE was carried out for a relaxed structure of ZrCd3.

Geometry as CIF:
```
data_ZrCd3
_cell_length_a 3.225
_cell_length_b 3.225
_cell_length_c 8.336
_cell_angle_alpha 90.00
_cell_angle_beta 90.00
_cell_angle_gamma 90.00
_symmetry_space_group_name_H-M 'P 4/m m m'
_symmetry_Int_Tables_number 123
_symmetry_space_group_name_Hall '-P 4 2'
loop_
_atom_site_label
_atom_site_type_symbol
_atom_site_fract_x
_atom_site_fract_y
_atom_site_fract_z
Zr1 Zr 0.000 0.000 0.000
Cd1 Cd 0.000 0.000 0.500
Cd2 Cd 0.500 0.500 0.254
```

***

# 6
A plane-wave DFT calculation with PBE was carried out for a relaxed structure of Zr2Cd.

Geometry as CIF:
```
data_Zr2Cd
_cell_length_a 4.423
_cell_length_b 4.423
_cell_length_c 27.208
_cell_angle_alpha 90.00
_cell_angle_beta 90.00
_cell_angle_gamma 90.00
_symmetry_space_group_name_H-M 'I 41/a m d'
_symmetry_Int_Tables_number 141
loop_
_symmetry_equiv_pos_as_xyz
'x,y,z'
'-x,-y,-z'
'-y+1/4,x+3/4,z+1/4'
'y+1/4,-x+3/4,-z+1/4'
'-x+1/2,-y,z+1/2'
'x+1/2,y,-z+1/2'
'y+1/4,-x+1/4,z+3/4'
'-y+1/4,x+1/4,-z+3/4'
'x,-y,-z'
'-x,y,z'
'-y+1/4,-x+1/4,-z+3/4'
'y+1/4,x+1/4,z+3/4'
'-x+1/2,y,-z+1/2'
'x+1/2,-y,z+1/2'
'y+1/4,x+3/4,-z+1/4'
'-y+1/4,-x+3/4,z+1/4'
'x+1/2,y+1/2,z+1/2'
'-x+1/2,-y+1/2,-z+1/2'
'-y+3/4,x+1/4,z+3/4'
'y+3/4,-x+1/4,-z+3/4'
'-x,-y+1/2,z'
'x,y+1/2,-z'
'y+3/4,-x+3/4,z+1/4'
'-y+3/4,x+3/4,-z+1/4'
'x+1/2,-y+1/2,-z+1/2'
'-x+1/2,y+1/2,z+1/2'
'-y+3/4,-x+3/4,-z+1/4'
'y+3/4,x+3/4,z+1/4'
'-x,y+1/2,-z'
'x,-y+1/2,z'
'y+3/4,x+1/4,-z+3/4'
'-y+3/4,-x+1/4,z+3/4'
loop_
_atom_site_label
_atom_site_type_symbol
_atom_site_fract_x
_atom_site_fract_y
_atom_site_fract_z
Zr1 Zr 0.000 0.250 0.121
Zr2 Zr 0.000 0.250 0.792
Cd1 Cd 0.000 0.250 0.291
```

***

Result set for DOS(E_F): 3.916 4.187 2.925 20.343 3.489 3.498 states/eV/f.u., one per record in the order listed.
Result set for formation enthalpy at 0 K: 1.45 -0.16 -0.02 -0.12 -0.32 -0.14 eV per formula unit, one per record in the order listed.